[1]
Material: Mo3RhBr
Method: DFT, SCAN
State: single point on PBEsol structure Values from VASP.

Structure (Quantum ESPRESSO input):
```
&SYSTEM
  ibrav = 0, nat = 5, ntyp = 3
/
ATOMIC_SPECIES
Mo 95.94 Mo.upf
Rh 102.91 Rh.upf
Br 79.90 Br.upf
CELL_PARAMETERS angstrom
4.4828 0.0000 0.0000
0.0000 4.4828 0.0000
0.0000 0.0000 4.4828
ATOMIC_POSITIONS crystal
Mo 0.0000 0.5000 0.0000
Mo 0.0000 0.0000 0.5000
Mo 0.5000 0.0000 0.0000
Rh 0.5000 0.5000 0.5000
Br 0.0000 0.0000 0.0000
```

[2]
Material: MoRhSe2Br
Method: DFT, SCAN
State: single point on PBEsol structure Values from VASP.

Structure (Quantum ESPRESSO input):
```
&SYSTEM
  ibrav = 0, nat = 5, ntyp = 4
/
ATOMIC_SPECIES
Mo 95.94 Mo.upf
Rh 102.91 Rh.upf
Se 78.96 Se.upf
Br 79.90 Br.upf
CELL_PARAMETERS angstrom
4.8154 0.0000 0.0000
0.0000 4.8154 0.0000
0.0000 0.0000 4.8211
ATOMIC_POSITIONS crystal
Mo 0.5000 0.5000 0.5000
Rh 0.0000 0.0000 0.0000
Se 0.0000 0.5000 0.0000
Se 0.5000 0.0000 0.0000
Br 0.0000 0.0000 0.5000
```

[3]
! MoRuBr | Alexandria | SCAN | single point on PBEsol structure; values from VASP
! Polymorph energy (0 for the lowest one) in kJ/mol of formula units: 0
&SYSTEM
  ibrav = 0, nat = 3, ntyp = 3
/
ATOMIC_SPECIES
Ru 101.07 Ru.upf
Mo 95.94 Mo.upf
Br 79.90 Br.upf
CELL_PARAMETERS angstrom
-1.6570 1.4546 -1.9743
-2.2828 -0.0445 1.8831
3.5924 3.9629 2.1229
ATOMIC_POSITIONS crystal
Ru 0.3193 0.3193 0.6387
Mo 0.6739 0.6739 0.3478
Br 0.0068 0.0068 0.0136

no.,magnetic moment (Bohr magnetons per cell),E_form (uncorrected) (eV/atom)
1,0.0,1.89
2,3.0,0.68
3,0.0,0.47